# NbNiSe2Br

An optimized crystal structure of NbNiSe2Br (PBE, the Alexandria database).

Properties
ΔE_f (raw), eV per formula unit: 1.90
Size of the total moment, μB/f.u.: 1.01
DOS(E_F), states/eV per atom: 2.581
Relative energy among the computed polymorphs, eV/atom: 0.0000

```
data_NbNiSe2Br
_cell_length_a 5.040
_cell_length_b 5.040
_cell_length_c 5.166
_cell_angle_alpha 90.00
_cell_angle_beta 90.00
_cell_angle_gamma 90.00
_symmetry_space_group_name_H-M 'P 4/m m m'
_symmetry_Int_Tables_number 123
_symmetry_space_group_name_Hall '-P 4 2'
loop_
_atom_site_label
_atom_site_type_symbol
_atom_site_fract_x
_atom_site_fract_y
_atom_site_fract_z
_atom_site_occupancy
Nb1 Nb 0.000 0.000 0.000 1
Ni1 Ni 0.500 0.500 0.500 1
Se1 Se 0.000 0.500 0.000 1
Br1 Br 0.000 0.000 0.500 1
```